A relaxed structure of TcPS2Cl. Source: Alexandria via LeMat-Bulk, functional PBE.

* D(E_F): 3.82 states/eV/cell
* distance to the lowest polymorph of the same formula: 0 meV/atom
* final energy: -4.85 eV per atom
* symmetry: P4/mmm
* raw formation energy: 0.33 eV/atom

Cell: 4.531 4.531 4.861 Å, 90.00 90.00 90.00°
Element x y z (fractional)
P: 0.000 0.000 0.500
S: 0.000 0.500 0.000
S: 0.500 0.000 0.000
Tc: 0.000 0.000 0.000
Cl: 0.500 0.500 0.500